1.
A plane-wave DFT calculation with PBE was carried out for a geometry-optimized BaTl2H structure.

a = 7.8847 Å, b = 7.8847 Å, c = 7.8847 Å
α = 90.00°, β = 90.00°, γ = 90.00°
Closest atoms and distances in Å follow each position.
Fractional coordinates of all 16 atoms:
Ba 0.0000 0.0000 0.0000  8 Tl 3.41
Ba 0.0000 0.5000 0.5000  8 Tl 3.41
Ba 0.5000 0.0000 0.5000  8 Tl 3.41
Ba 0.5000 0.5000 0.0000  8 Tl 3.41
Tl 0.2500 0.2500 0.2500  4 Ba 3.41, 4 H 3.41
Tl 0.2500 0.2500 0.7500  4 H 3.41, 4 Ba 3.41
Tl 0.2500 0.7500 0.2500  4 H 3.41, 4 Ba 3.41
Tl 0.2500 0.7500 0.7500  4 Ba 3.41, 4 H 3.41
Tl 0.7500 0.2500 0.2500  4 H 3.41, 4 Ba 3.41
Tl 0.7500 0.2500 0.7500  4 Ba 3.41, 4 H 3.41
Tl 0.7500 0.7500 0.2500  4 Ba 3.41, 4 H 3.41
Tl 0.7500 0.7500 0.7500  4 H 3.41, 4 Ba 3.41
H 0.0000 0.0000 0.5000  8 Tl 3.41
H 0.0000 0.5000 0.0000  8 Tl 3.41
H 0.5000 0.0000 0.0000  8 Tl 3.41
H 0.5000 0.5000 0.5000  8 Tl 3.41

Properties
Offset from the most stable computed form ... 1.03 eV/f.u.
Fermi-level density of states ... 2.723 states/eV/f.u.
SG ... Fm-3m, No. 225
E_tot ... -2.167 eV/atom


2.
A plane-wave DFT calculation with PBE was carried out for a geometry-optimized Be5Si structure.

a = 8.5977 Å, b = 2.3536 Å, c = 6.0034 Å
α = 90.00°, β = 111.86°, γ = 90.00°
Closest atoms and distances in Å follow each position.
Fractional coordinates of all 12 atoms:
Be 0.0000 0.0000 0.0000  10 Be 2.28-2.41
Be 0.0172 0.0000 0.6307  10 Be 2.21-2.38, 2 Si 2.44
Be 0.1125 0.5000 0.3763  8 Be 2.31-2.41, 3 Si 2.33-2.41
Be 0.2049 0.5000 0.9163  9 Be 2.21-2.40, 2 Si 2.36
Be 0.3061 0.0000 0.6898  11 Be 2.21-2.38
Be 0.5000 0.5000 0.0000  10 Be 2.28-2.41
Be 0.5172 0.5000 0.6307  10 Be 2.21-2.38, 2 Si 2.44
Be 0.6125 0.0000 0.3763  8 Be 2.31-2.41, 3 Si 2.33-2.41
Be 0.7049 0.0000 0.9163  9 Be 2.21-2.40, 2 Si 2.36
Be 0.8061 0.5000 0.6898  11 Be 2.21-2.38
Si 0.3239 0.0000 0.2811  8 Be 2.33-2.51, 2 Si 2.35
Si 0.8239 0.5000 0.2811  8 Be 2.33-2.51, 2 Si 2.35

Properties
Offset from the most stable computed form ... 0.09 eV/f.u.
ΔE_f (raw) ... 260 meV per atom
Fermi-level density of states ... 1.482 states/eV/f.u.
SG ... Cm, No. 8
E_tot ... -3.749 eV/atom


3.
A plane-wave DFT calculation with PBE was carried out for a geometry-optimized Cu5Sb3O12 structure.

a = 10.5904 Å, b = 10.5904 Å, c = 10.5904 Å
α = 109.47°, β = 109.47°, γ = 109.47°
Closest atoms and distances in Å follow each position.
Fractional coordinates of all 80 atoms:
Cu 0.0000 0.0000 0.0000  6 O 2.03
Cu 0.0000 0.0000 0.5000  6 O 2.03
Cu 0.0000 0.5000 0.0000  6 O 2.03
Cu 0.0000 0.5000 0.5000  6 O 2.03
Cu 0.1250 0.7500 0.8750  4 O 1.90
Cu 0.1250 0.8750 0.2500  4 O 1.90
Cu 0.2500 0.1250 0.8750  4 O 1.90
Cu 0.2500 0.6250 0.3750  4 O 1.90
Cu 0.3750 0.2500 0.6250  4 O 1.90
Cu 0.3750 0.6250 0.7500  4 O 1.90
Cu 0.5000 0.0000 0.0000  6 O 2.03
Cu 0.5000 0.0000 0.5000  6 O 2.03
Cu 0.5000 0.5000 0.0000  6 O 2.03
Cu 0.5000 0.5000 0.5000  6 O 2.03
Cu 0.6250 0.3750 0.2500  4 O 1.90
Cu 0.6250 0.7500 0.3750  4 O 1.90
Cu 0.7500 0.3750 0.6250  4 O 1.90
Cu 0.7500 0.8750 0.1250  4 O 1.90
Cu 0.8750 0.1250 0.7500  4 O 1.90
Cu 0.8750 0.2500 0.1250  4 O 1.90
Sb 0.1250 0.2500 0.3750  8 O 2.22-2.38
Sb 0.1250 0.3750 0.7500  8 O 2.22-2.38
Sb 0.2500 0.3750 0.1250  8 O 2.22-2.38
Sb 0.2500 0.8750 0.6250  8 O 2.22-2.38
Sb 0.3750 0.1250 0.2500  8 O 2.22-2.38
Sb 0.3750 0.7500 0.1250  8 O 2.22-2.38
Sb 0.6250 0.2500 0.8750  8 O 2.22-2.38
Sb 0.6250 0.8750 0.7500  8 O 2.22-2.38
Sb 0.7500 0.1250 0.3750  8 O 2.22-2.38
Sb 0.7500 0.6250 0.8750  8 O 2.22-2.38
Sb 0.8750 0.6250 0.2500  8 O 2.22-2.38
Sb 0.8750 0.7500 0.6250  8 O 2.22-2.38
O 0.0409 0.2134 0.1367  2 Cu 1.90-2.03
O 0.0409 0.3274 0.9042  2 Cu 1.90-2.03
O 0.0767 0.7134 0.6726  2 Cu 1.90-2.03
O 0.0767 0.8633 0.4042  2 Cu 1.90-2.03
O 0.0958 0.6367 0.4233  2 Cu 1.90-2.03
O 0.0958 0.9591 0.6726  2 Cu 1.90-2.03
O 0.1367 0.0409 0.2134  2 Cu 1.90-2.03
O 0.1367 0.5958 0.9233  2 Cu 1.90-2.03
O 0.1726 0.2134 0.5767  2 Cu 1.90-2.03
O 0.1726 0.4591 0.5958  2 Cu 1.90-2.03
O 0.2134 0.1367 0.0409  2 Cu 1.90-2.03
O 0.2134 0.5767 0.1726  2 Cu 1.90-2.03
O 0.2866 0.3274 0.9233  2 Cu 1.90-2.03
O 0.2866 0.4591 0.3633  2 Cu 1.90-2.03
O 0.3274 0.9042 0.0409  2 Cu 1.90-2.03
O 0.3274 0.9233 0.2866  2 Cu 1.90-2.03
O 0.3633 0.2866 0.4591  2 Cu 1.90-2.03
O 0.3633 0.5767 0.9042  2 Cu 1.90-2.03
O 0.4042 0.0767 0.8633  2 Cu 1.90-2.03
O 0.4042 0.8274 0.5409  2 Cu 1.90-2.03
O 0.4233 0.0958 0.6367  2 Cu 1.90-2.03
O 0.4233 0.8274 0.7866  2 Cu 1.90-2.03
O 0.4591 0.3633 0.2866  2 Cu 1.90-2.03
O 0.4591 0.5958 0.1726  2 Cu 1.90-2.03
O 0.5409 0.4042 0.8274  2 Cu 1.90-2.03
O 0.5409 0.6367 0.7134  2 Cu 1.90-2.03
O 0.5767 0.1726 0.2134  2 Cu 1.90-2.03
O 0.5767 0.9042 0.3633  2 Cu 1.90-2.03
O 0.5958 0.1726 0.4591  2 Cu 1.90-2.03
O 0.5958 0.9233 0.1367  2 Cu 1.90-2.03
O 0.6367 0.4233 0.0958  2 Cu 1.90-2.03
O 0.6367 0.7134 0.5409  2 Cu 1.90-2.03
O 0.6726 0.0767 0.7134  2 Cu 1.90-2.03
O 0.6726 0.0958 0.9591  2 Cu 1.90-2.03
O 0.7134 0.5409 0.6367  2 Cu 1.90-2.03
O 0.7134 0.6726 0.0767  2 Cu 1.90-2.03
O 0.7866 0.4233 0.8274  2 Cu 1.90-2.03
O 0.7866 0.8633 0.9591  2 Cu 1.90-2.03
O 0.8274 0.5409 0.4042  2 Cu 1.90-2.03
O 0.8274 0.7866 0.4233  2 Cu 1.90-2.03
O 0.8633 0.4042 0.0767  2 Cu 1.90-2.03
O 0.8633 0.9591 0.7866  2 Cu 1.90-2.03
O 0.9042 0.0409 0.3274  2 Cu 1.90-2.03
O 0.9042 0.3633 0.5767  2 Cu 1.90-2.03
O 0.9233 0.1367 0.5958  2 Cu 1.90-2.03
O 0.9233 0.2866 0.3274  2 Cu 1.90-2.03
O 0.9591 0.6726 0.0958  2 Cu 1.90-2.03
O 0.9591 0.7866 0.8633  2 Cu 1.90-2.03

Properties
ΔE_f (raw) ... -716 meV per atom
Fermi-level density of states ... 13.868 states/eV/f.u.
SG ... Ia-3d, No. 230
E_tot ... -5.334 eV/atom